1.
# EuDyZnCd (PBE-GGA, optimized geometry)
# ΔE_f	-274	meV/atom
data_EuDyZnCd
_symmetry_space_group_name_H-M 'F -4 3 m'
_symmetry_Int_Tables_number 216
_symmetry_space_group_name_Hall 'F -4 2 3'
_cell_length_a 7.4858
_cell_length_b 7.4858
_cell_length_c 7.4858
_cell_angle_alpha 90.00
_cell_angle_beta 90.00
_cell_angle_gamma 90.00
loop_
_atom_site_label
_atom_site_type_symbol
_atom_site_fract_x
_atom_site_fract_y
_atom_site_fract_z
Eu1 Eu 0.0000 0.0000 0.0000
Dy1 Dy 0.0000 0.0000 0.5000
Zn1 Zn 0.2500 0.2500 0.2500
Cd1 Cd 0.2500 0.2500 0.7500


2.
# DyCdF4 (PBE-GGA, optimized geometry)
# energy relative to the elements, uncorrected	-3.081	eV per atom
data_DyCdF4
_symmetry_space_group_name_H-M 'I 41 m d'
_symmetry_Int_Tables_number 109
_symmetry_space_group_name_Hall 'I 4bw -2'
_cell_length_a 7.5962
_cell_length_b 7.5962
_cell_length_c 7.8041
_cell_angle_alpha 90.00
_cell_angle_beta 90.00
_cell_angle_gamma 90.00
loop_
_atom_site_label
_atom_site_type_symbol
_atom_site_fract_x
_atom_site_fract_y
_atom_site_fract_z
Dy1 Dy 0.0000 0.0000 0.0000
Cd1 Cd 0.0000 0.0000 0.5275
F1 F 0.0000 0.1873 0.7889
F2 F 0.0000 0.2099 0.2010


3.
# Dy2CdF (PBE-GGA, optimized geometry)
# energy relative to the elements, uncorrected	-0.864	eV per atom
data_Dy2CdF
_symmetry_space_group_name_H-M 'R -3 m'
_symmetry_Int_Tables_number 166
_symmetry_space_group_name_Hall '-R 3 2"'
_cell_length_a 3.3521
_cell_length_b 3.3521
_cell_length_c 29.7750
_cell_angle_alpha 90.00
_cell_angle_beta 90.00
_cell_angle_gamma 120.00
loop_
_atom_site_label
_atom_site_type_symbol
_atom_site_fract_x
_atom_site_fract_y
_atom_site_fract_z
Dy1 Dy 0.0000 0.0000 0.1063
Cd1 Cd 0.0000 0.0000 0.0000
F1 F 0.0000 0.0000 0.5000


4.
# DyCdF5 (PBE-GGA, optimized geometry)
# energy relative to the elements, uncorrected	-3.271	eV per atom
data_DyCdF5
_symmetry_space_group_name_H-M 'C 1 2/c 1'
_symmetry_Int_Tables_number 15
_symmetry_space_group_name_Hall '-C 2yc'
_cell_length_a 9.4303
_cell_length_b 7.1963
_cell_length_c 7.7776
_cell_angle_alpha 90.00
_cell_angle_beta 113.39
_cell_angle_gamma 90.00
loop_
_atom_site_label
_atom_site_type_symbol
_atom_site_fract_x
_atom_site_fract_y
_atom_site_fract_z
Dy1 Dy 0.0000 0.0444 0.2500
Cd1 Cd 0.0000 0.5000 0.0000
F1 F 0.0000 0.3551 0.2500
F2 F 0.0073 0.1732 0.9607
F3 F 0.2479 0.0288 0.3665


5.
# DyCd2F6 (PBE-GGA, optimized geometry)
# energy relative to the elements, uncorrected	-2.796	eV per atom
data_DyCd2F6
_symmetry_space_group_name_H-M 'C 1 2/m 1'
_symmetry_Int_Tables_number 12
_symmetry_space_group_name_Hall '-C 2y'
_cell_length_a 11.8397
_cell_length_b 3.8803
_cell_length_c 7.9667
_cell_angle_alpha 90.00
_cell_angle_beta 125.35
_cell_angle_gamma 90.00
loop_
_atom_site_label
_atom_site_type_symbol
_atom_site_fract_x
_atom_site_fract_y
_atom_site_fract_z
Dy1 Dy 0.0000 0.0000 0.0000
Cd1 Cd 0.1559 0.0000 0.6001
F1 F 0.0417 0.0000 0.7610
F2 F 0.1259 0.5000 0.0738
F3 F 0.2195 0.0000 0.3422


6.
# DyCd3F8 (PBE-GGA, optimized geometry)
# energy relative to the elements, uncorrected	-2.678	eV per atom
data_DyCd3F8
_symmetry_space_group_name_H-M 'P m -3 m'
_symmetry_Int_Tables_number 221
_symmetry_space_group_name_Hall '-P 4 2 3'
_cell_length_a 5.5798
_cell_length_b 5.5798
_cell_length_c 5.5798
_cell_angle_alpha 90.00
_cell_angle_beta 90.00
_cell_angle_gamma 90.00
loop_
_atom_site_label
_atom_site_type_symbol
_atom_site_fract_x
_atom_site_fract_y
_atom_site_fract_z
Dy1 Dy 0.0000 0.0000 0.0000
Cd1 Cd 0.0000 0.5000 0.5000
F1 F 0.2401 0.2401 0.2401


| no. | total magnetic moment (μB/f.u.) | electronic total energy (eV/atom) |
| --- | --- | --- |
| 1 | 7.02 | -4.54 |
| 2 | 0.00 | -5.25 |
| 3 | 0.00 | -3.86 |
| 4 | 0.00 | -5.40 |
| 5 | 0.00 | -4.76 |
| 6 | 0.00 | -4.54 |